# Ba2CoCu2S2O2, relaxed, DFT PBE+U
data_Ba2CoCu2S2O2
_cell_length_a 3.993
_cell_length_b 3.993
_cell_length_c 19.859
_cell_angle_alpha 90.00
_cell_angle_beta 90.00
_cell_angle_gamma 90.00
_symmetry_space_group_name_H-M 'I 4/m m m'
_symmetry_Int_Tables_number 139
_symmetry_space_group_name_Hall '-I 4 2'
loop_
_atom_site_label
_atom_site_type_symbol
_atom_site_fract_x
_atom_site_fract_y
_atom_site_fract_z
_atom_site_occupancy
Ba1 Ba 0.000 0.000 0.097 1
Co1 Co 0.000 0.000 0.500 1
Cu1 Cu 0.000 0.500 0.250 1
S1 S 0.000 0.000 0.318 1
O1 O 0.000 0.500 0.000 1
# Total DFT energy (no corrections)   -5.189 eV/atom